1.
VASP calculation (PBE) on crystalline SnPd2Pb2 at its relaxed geometry.

The structure belongs to space group I4/mmm (No. 139); the cell edges are 3.868, 3.868 and 16.530 Å and the angles 90.00°, 90.00° and 90.00°. The asymmetric unit holds Sn at (0.000, 0.000, 0.000), Pd at (0.000, 0.500, 0.250) and Pb at (0.000, 0.000, 0.377).

The formation energy comes out at -25 meV/atom. The value obtained for the density of states at the Fermi level is 2.32 states/eV/f.u. The total energy comes out at -43.860 eV per cell.

---

2.
VASP calculation (PBE) on crystalline Sm2H2Pt3 at its relaxed geometry.

The structure belongs to space group P2/m (No. 10); the cell edges are 4.551, 3.718 and 7.088 Å and the angles 90.00°, 95.25° and 90.00°. The asymmetric unit holds Sm at (0.217, 0.000, 0.272), H at (0.156, 0.500, 0.856), Pt at (0.270, 0.500, 0.620) and Pt at (0.500, 0.500, 0.000).

The value obtained for the density of states at the Fermi level is 2.24 states/eV/f.u. The total energy comes out at -39.959 eV per cell.